Computed, not measured: crystalline YCuRu2C at its relaxed geometry at the PBE-GGA level of DFT.

Computed properties:
crystal system: tetragonal
formation energy from the elements: -0.36 eV per formula unit

Structure (POSCAR):
```
YCuRu2C
1.0
4.1797 0.0000 0.0000
0.0000 4.1797 0.0000
0.0000 0.0000 4.0600
Y Cu Ru C
1 1 2 1
Direct
0.0000 0.0000 0.0000
0.5000 0.5000 0.0000
0.0000 0.5000 0.5000
0.5000 0.0000 0.5000
0.5000 0.5000 0.5000
```


Computed, not measured: crystalline Zr2CuRuC at its relaxed geometry at the PBE-GGA level of DFT.

Computed properties:
crystal system: tetragonal
formation energy from the elements: 3.85 eV per formula unit

Structure (POSCAR):
```
Zr2CuRuC
1.0
4.9931 0.0000 0.0000
0.0000 4.9931 0.0000
0.0000 0.0000 3.4340
Zr Cu Ru C
2 1 1 1
Direct
0.0000 0.5000 0.0000
0.5000 0.0000 0.0000
0.0000 0.0000 0.0000
0.5000 0.5000 0.5000
0.0000 0.0000 0.5000
```


Computed, not measured: crystalline CuCS3 at its relaxed geometry at the PBE-GGA level of DFT.

Computed properties:
crystal system: cubic
formation energy from raw total energies: 1.34 eV per atom

Structure (POSCAR):
```
CuCS3
1.0
4.1151 0.0000 0.0000
0.0000 4.1151 0.0000
0.0000 0.0000 4.1151
Cu C S
1 1 3
Direct
0.0000 0.0000 0.0000
0.5000 0.5000 0.5000
0.0000 0.5000 0.5000
0.5000 0.0000 0.5000
0.5000 0.5000 0.0000
```


Computed, not measured: crystalline Cu3CS at its relaxed geometry at the PBE-GGA level of DFT.

Computed properties:
crystal system: cubic
formation energy from raw total energies: 0.62 eV per atom

Structure (POSCAR):
```
Cu3CS
1.0
3.9470 0.0000 0.0000
0.0000 3.9470 0.0000
0.0000 0.0000 3.9470
Cu C S
3 1 1
Direct
0.0000 0.0000 0.5000
0.0000 0.5000 0.0000
0.5000 0.0000 0.0000
0.0000 0.0000 0.0000
0.5000 0.5000 0.5000
```


Computed, not measured: crystalline CuCS3 at its relaxed geometry at the PBE-GGA level of DFT.

Computed properties:
crystal system: cubic
formation energy from raw total energies: 1.95 eV per atom

Structure (POSCAR):
```
CuCS3
1.0
4.4696 0.0000 0.0000
0.0000 4.4696 0.0000
0.0000 0.0000 4.4696
Cu C S
1 1 3
Direct
0.0000 0.0000 0.0000
0.5000 0.5000 0.5000
0.0000 0.0000 0.5000
0.0000 0.5000 0.0000
0.5000 0.0000 0.0000
```


Computed, not measured: crystalline ScCuC2S at its relaxed geometry at the PBE-GGA level of DFT.

Computed properties:
crystal system: tetragonal
formation energy from raw total energies: 2.17 eV per atom

Structure (POSCAR):
```
ScCuC2S
1.0
4.1025 0.0000 0.0000
0.0000 4.1025 0.0000
0.0000 0.0000 5.5771
Sc Cu C S
1 1 2 1
Direct
0.0000 0.0000 0.0000
0.0000 0.0000 0.5000
0.0000 0.5000 0.0000
0.5000 0.0000 0.0000
0.5000 0.5000 0.5000
```